Compound: FeNiAs2
Source: the Alexandria database
Functional: PBE-GGA
Structure: optimized geometry

```
data_FeNiAs2
_chemical_formula_sum 'Fe1 Ni1 As2'
_symmetry_space_group_name_H-M 'P 1'
_symmetry_Int_Tables_number 1
_symmetry_space_group_name_Hall 'P 1'
_cell_length_a 4.489
_cell_length_b 4.489
_cell_length_c 4.259
_cell_angle_alpha 78.85
_cell_angle_beta 78.85
_cell_angle_gamma 41.68
loop_
_atom_site_label
_atom_site_type_symbol
_atom_site_fract_x
_atom_site_fract_y
_atom_site_fract_z
_atom_site_occupancy
As1 As 0.001 0.001 0.922 1
As2 As 0.245 0.245 0.346 1
Fe1 Fe 0.523 0.523 0.421 1
Ni1 Ni 0.731 0.731 0.810 1
```

Its offset from the most stable computed form is 33 meV/atom.

Compound: Fe2Ni9As
Source: the Alexandria database
Functional: PBE-GGA
Structure: optimized geometry

```
data_Fe2Ni9As
_chemical_formula_sum 'Fe2 Ni9 As1'
_symmetry_space_group_name_H-M 'P 1'
_symmetry_Int_Tables_number 1
_symmetry_space_group_name_Hall 'P 1'
_cell_length_a 3.562
_cell_length_b 3.562
_cell_length_c 10.674
_cell_angle_alpha 90.00
_cell_angle_beta 90.00
_cell_angle_gamma 90.00
loop_
_atom_site_label
_atom_site_type_symbol
_atom_site_fract_x
_atom_site_fract_y
_atom_site_fract_z
_atom_site_occupancy
Fe1 Fe 0.000 0.000 0.337 1
Fe2 Fe 0.000 0.000 0.663 1
Ni1 Ni 0.500 0.500 0.000 1
Ni2 Ni 0.500 0.500 0.335 1
Ni3 Ni 0.500 0.500 0.665 1
Ni4 Ni 0.500 0.000 0.171 1
Ni5 Ni 0.500 0.000 0.500 1
Ni6 Ni 0.500 0.000 0.829 1
Ni7 Ni 0.000 0.500 0.171 1
Ni8 Ni 0.000 0.500 0.500 1
Ni9 Ni 0.000 0.500 0.829 1
As1 As 0.000 0.000 0.000 1
```

Compound: FeNiAs
Source: the Alexandria database
Functional: PBE-GGA
Structure: optimized geometry

```
data_FeNiAs
_chemical_formula_sum 'Fe3 Ni3 As3'
_symmetry_space_group_name_H-M 'P 1'
_symmetry_Int_Tables_number 1
_symmetry_space_group_name_Hall 'P 1'
_cell_length_a 6.026
_cell_length_b 6.026
_cell_length_c 3.628
_cell_angle_alpha 90.00
_cell_angle_beta 90.00
_cell_angle_gamma 120.01
loop_
_atom_site_label
_atom_site_type_symbol
_atom_site_fract_x
_atom_site_fract_y
_atom_site_fract_z
_atom_site_occupancy
As1 As 0.333 0.667 0.000 1
As2 As 0.667 0.333 0.000 1
As3 As 0.000 0.000 0.500 1
Fe1 Fe 0.589 0.000 0.500 1
Fe2 Fe 0.000 0.589 0.500 1
Fe3 Fe 0.411 0.411 0.500 1
Ni1 Ni 0.252 0.000 0.000 1
Ni2 Ni 0.000 0.252 0.000 1
Ni3 Ni 0.748 0.748 0.000 1
```

Compound: Fe2Ni8As
Source: the Alexandria database
Functional: PBE-GGA
Structure: optimized geometry

```
data_Fe2Ni8As
_chemical_formula_sum 'Fe2 Ni8 As1'
_symmetry_space_group_name_H-M 'P 1'
_symmetry_Int_Tables_number 1
_symmetry_space_group_name_Hall 'P 1'
_cell_length_a 3.585
_cell_length_b 5.603
_cell_length_c 6.656
_cell_angle_alpha 104.34
_cell_angle_beta 105.62
_cell_angle_gamma 90.00
loop_
_atom_site_label
_atom_site_type_symbol
_atom_site_fract_x
_atom_site_fract_y
_atom_site_fract_z
_atom_site_occupancy
Fe1 Fe 0.776 0.357 0.552 1
Fe2 Fe 0.224 0.643 0.448 1
Ni1 Ni 0.407 0.545 0.814 1
Ni2 Ni 0.681 0.910 0.363 1
Ni3 Ni 0.857 0.810 0.715 1
Ni4 Ni 0.956 0.274 0.911 1
Ni5 Ni 0.143 0.190 0.285 1
Ni6 Ni 0.319 0.090 0.637 1
Ni7 Ni 0.593 0.455 0.186 1
Ni8 Ni 0.044 0.726 0.089 1
As1 As 0.500 0.000 0.000 1
```

Its offset from the most stable computed form is 0 meV/atom.

Compound: FeNiAs
Source: the Alexandria database
Functional: PBE-GGA
Structure: optimized geometry

```
data_FeNiAs
_chemical_formula_sum 'Fe1 Ni1 As1'
_symmetry_space_group_name_H-M 'P 1'
_symmetry_Int_Tables_number 1
_symmetry_space_group_name_Hall 'P 1'
_cell_length_a 2.790
_cell_length_b 2.790
_cell_length_c 5.884
_cell_angle_alpha 90.00
_cell_angle_beta 90.00
_cell_angle_gamma 120.00
loop_
_atom_site_label
_atom_site_type_symbol
_atom_site_fract_x
_atom_site_fract_y
_atom_site_fract_z
_atom_site_occupancy
As1 As 0.000 0.000 0.994 1
Fe1 Fe 0.667 0.333 0.340 1
Ni1 Ni 0.333 0.667 0.666 1
```

Compound: Fe4Ni15As
Source: the Alexandria database
Functional: PBE-GGA
Structure: optimized geometry

```
data_Fe4Ni15As
_chemical_formula_sum 'Fe4 Ni15 As1'
_symmetry_space_group_name_H-M 'P 1'
_symmetry_Int_Tables_number 1
_symmetry_space_group_name_Hall 'P 1'
_cell_length_a 3.553
_cell_length_b 3.553
_cell_length_c 17.806
_cell_angle_alpha 90.00
_cell_angle_beta 90.00
_cell_angle_gamma 90.00
loop_
_atom_site_label
_atom_site_type_symbol
_atom_site_fract_x
_atom_site_fract_y
_atom_site_fract_z
_atom_site_occupancy
Fe1 Fe 0.000 0.000 0.203 1
Fe2 Fe 0.000 0.000 0.401 1
Fe3 Fe 0.000 0.000 0.599 1
Fe4 Fe 0.000 0.000 0.797 1
Ni1 Ni 0.500 0.500 0.000 1
Ni2 Ni 0.500 0.500 0.202 1
Ni3 Ni 0.500 0.500 0.401 1
Ni4 Ni 0.500 0.500 0.599 1
Ni5 Ni 0.500 0.500 0.798 1
Ni6 Ni 0.500 0.000 0.103 1
Ni7 Ni 0.500 0.000 0.301 1
Ni8 Ni 0.500 0.000 0.500 1
Ni9 Ni 0.500 0.000 0.699 1
Ni10 Ni 0.500 0.000 0.897 1
Ni11 Ni 0.000 0.500 0.103 1
Ni12 Ni 0.000 0.500 0.301 1
Ni13 Ni 0.000 0.500 0.500 1
Ni14 Ni 0.000 0.500 0.699 1
Ni15 Ni 0.000 0.500 0.897 1
As1 As 0.000 0.000 0.000 1
```

Compound: FeNiAs2
Source: the Alexandria database
Functional: PBE-GGA
Structure: optimized geometry

```
data_FeNiAs2
_chemical_formula_sum 'Fe1 Ni1 As2'
_symmetry_space_group_name_H-M 'P 1'
_symmetry_Int_Tables_number 1
_symmetry_space_group_name_Hall 'P 1'
_cell_length_a 7.403
_cell_length_b 7.403
_cell_length_c 7.403
_cell_angle_alpha 23.25
_cell_angle_beta 23.25
_cell_angle_gamma 23.25
loop_
_atom_site_label
_atom_site_type_symbol
_atom_site_fract_x
_atom_site_fract_y
_atom_site_fract_z
_atom_site_occupancy
As1 As 0.998 0.998 0.998 1
As2 As 0.502 0.502 0.502 1
Fe1 Fe 0.250 0.250 0.250 1
Ni1 Ni 0.750 0.750 0.750 1
```

Its offset from the most stable computed form is 81 meV/atom.

Compound: Fe3NiAs4
Source: the Alexandria database
Functional: PBE-GGA
Structure: optimized geometry

```
data_Fe3NiAs4
_chemical_formula_sum 'Fe3 Ni1 As4'
_symmetry_space_group_name_H-M 'P 1'
_symmetry_Int_Tables_number 1
_symmetry_space_group_name_Hall 'P 1'
_cell_length_a 3.470
_cell_length_b 5.265
_cell_length_c 5.917
_cell_angle_alpha 89.72
_cell_angle_beta 90.00
_cell_angle_gamma 90.00
loop_
_atom_site_label
_atom_site_type_symbol
_atom_site_fract_x
_atom_site_fract_y
_atom_site_fract_z
_atom_site_occupancy
Fe1 Fe 0.500 0.999 0.199 1
Fe2 Fe 0.000 0.498 0.706 1
Fe3 Fe 0.000 0.997 0.799 1
Ni1 Ni 0.500 0.502 0.301 1
As1 As 0.500 0.708 0.907 1
As2 As 0.500 0.196 0.588 1
As3 As 0.000 0.292 0.081 1
As4 As 0.000 0.809 0.419 1
```

Compound: Fe2Ni2As
Source: the Alexandria database
Functional: PBE-GGA
Structure: optimized geometry

```
data_Fe2Ni2As
_chemical_formula_sum 'Fe4 Ni4 As2'
_symmetry_space_group_name_H-M 'P 1'
_symmetry_Int_Tables_number 1
_symmetry_space_group_name_Hall 'P 1'
_cell_length_a 5.906
_cell_length_b 5.906
_cell_length_c 3.656
_cell_angle_alpha 90.00
_cell_angle_beta 90.00
_cell_angle_gamma 90.00
loop_
_atom_site_label
_atom_site_type_symbol
_atom_site_fract_x
_atom_site_fract_y
_atom_site_fract_z
_atom_site_occupancy
Ni1 Ni 0.150 0.650 0.500 1
Ni2 Ni 0.650 0.850 0.500 1
Ni3 Ni 0.850 0.350 0.500 1
Ni4 Ni 0.350 0.150 0.500 1
As1 As 0.000 0.000 0.000 1
As2 As 0.500 0.500 0.000 1
Fe1 Fe 0.362 0.862 0.000 1
Fe2 Fe 0.862 0.638 0.000 1
Fe3 Fe 0.638 0.138 0.000 1
Fe4 Fe 0.138 0.362 0.000 1
```

Compound: FeNiAs
Source: the Alexandria database
Functional: PBE-GGA
Structure: optimized geometry

```
data_FeNiAs
_chemical_formula_sum 'Fe1 Ni1 As1'
_symmetry_space_group_name_H-M 'P 1'
_symmetry_Int_Tables_number 1
_symmetry_space_group_name_Hall 'P 1'
_cell_length_a 3.258
_cell_length_b 3.258
_cell_length_c 4.310
_cell_angle_alpha 112.21
_cell_angle_beta 112.21
_cell_angle_gamma 90.00
loop_
_atom_site_label
_atom_site_type_symbol
_atom_site_fract_x
_atom_site_fract_y
_atom_site_fract_z
_atom_site_occupancy
Ni1 Ni 0.953 0.953 0.907 1
As1 As 0.283 0.283 0.566 1
Fe1 Fe 0.614 0.614 0.228 1
```

Compound: FeNiAs
Source: the Alexandria database
Functional: PBE-GGA
Structure: optimized geometry

```
data_FeNiAs
_chemical_formula_sum 'Fe1 Ni1 As1'
_symmetry_space_group_name_H-M 'P 1'
_symmetry_Int_Tables_number 1
_symmetry_space_group_name_Hall 'P 1'
_cell_length_a 3.963
_cell_length_b 3.963
_cell_length_c 2.811
_cell_angle_alpha 90.00
_cell_angle_beta 90.00
_cell_angle_gamma 120.00
loop_
_atom_site_label
_atom_site_type_symbol
_atom_site_fract_x
_atom_site_fract_y
_atom_site_fract_z
_atom_site_occupancy
Ni1 Ni 0.667 0.333 0.842 1
As1 As 0.000 0.000 0.685 1
Fe1 Fe 0.333 0.667 0.326 1
```

Compound: FeNiAs2
Source: the Alexandria database
Functional: PBE-GGA
Structure: optimized geometry

```
data_FeNiAs2
_chemical_formula_sum 'Fe1 Ni1 As2'
_symmetry_space_group_name_H-M 'P 1'
_symmetry_Int_Tables_number 1
_symmetry_space_group_name_Hall 'P 1'
_cell_length_a 3.220
_cell_length_b 3.438
_cell_length_c 4.929
_cell_angle_alpha 90.00
_cell_angle_beta 90.00
_cell_angle_gamma 90.00
loop_
_atom_site_label
_atom_site_type_symbol
_atom_site_fract_x
_atom_site_fract_y
_atom_site_fract_z
_atom_site_occupancy
As1 As 0.000 0.000 0.933 1
As2 As 0.500 0.500 0.313 1
Fe1 Fe 0.000 0.000 0.459 1
Ni1 Ni 0.500 0.500 0.795 1
```

Its offset from the most stable computed form is 1 meV/atom.

Calculated total energy: -5.911 -6.242 -6.431 -6.249 -6.146 -6.358 -5.863 -6.463 -6.453 -6.266 -6.291 -5.943 (eV/atom)
E_form: -0.101 -1.295 -0.401 -0.915 0.455 -1.945 0.090 -1.933 0.873 0.094 0.021 -0.228 (eV per formula unit)